Crystalline SmMg9Ag2 at its relaxed geometry. Source: the Alexandria database, functional PBE-GGA.

Unit cell a=7.5849 b=9.2599 c=9.2599 alpha=80.34 beta=65.82 gamma=65.82
Positions (direct):
1 Sm 0.5000 0.0000 0.0000
2 Sm 0.2500 0.5000 0.5000
3 Mg 0.7500 0.5000 0.5000
4 Mg 0.0000 0.0000 0.0000
5 Mg 0.0050 0.9226 0.6793
6 Mg 0.6069 0.0774 0.3207
7 Mg 0.6776 0.1793 0.5774
8 Mg 0.4343 0.8207 0.4226
9 Mg 0.7450 0.8207 0.5774
10 Mg 0.1431 0.1793 0.4226
11 Mg 0.0724 0.9226 0.3207
12 Mg 0.3157 0.0774 0.6793
13 Mg 0.7450 0.5774 0.8207
14 Mg 0.1431 0.4226 0.1793
15 Mg 0.0724 0.3207 0.9226
16 Mg 0.3157 0.6793 0.0774
17 Mg 0.0050 0.6793 0.9226
18 Mg 0.6069 0.3207 0.0774
19 Mg 0.6776 0.5774 0.1793
20 Mg 0.4343 0.4226 0.8207
21 Ag 0.8750 0.2500 0.7500
22 Ag 0.8750 0.7500 0.2500
23 Ag 0.8750 0.2500 0.2500
24 Ag 0.3750 0.7500 0.7500

Its total energy is -2.183 eV/atom. The calculation puts the formation enthalpy at 0 K at -119 meV per atom. The value obtained for the volume is 22.553 Å³ per atom.